1.
Compound: Fe2MoRh2
Source: Alexandria via LeMat-Bulk
Functional: PBE
Structure: optimized geometry

Results
The calculation puts the energy relative to the elements at 117 meV per atom. For the electronic total energy, the calculation gives -83.75 eV/cell. Its density is 10.10 g/cm3. The value obtained for the density of states at the Fermi level is 12.17 states/eV/cell. The energy relative to the lowest polymorph listed for this composition comes out at 0.00 kcal/mol of atoms.

abc: 7.0927 7.0927 2.7034
angles: 90.00 90.00 90.00
Closest atoms and distances in Å follow each position.
Space group P4/mbm (No. 127)
Asymmetric unit:
Fe1 0.1195 0.3805 0.0000 [4 per cell]  1 Fe 2.40, 6 Rh 2.45-2.53
Mo1 0.0000 0.0000 0.0000 [2 per cell]  2 Mo 2.70, 4 Fe 2.83, 8 Rh 2.94
Rh1 0.1763 0.6763 0.5000 [4 per cell]  6 Fe 2.45-2.53, 2 Rh 2.70


2.
Compound: Ba5Ag2PtF
Source: Alexandria via LeMat-Bulk
Functional: PBE
Structure: optimized geometry

Results
Its formation energy without anion corrections is -0.930 eV/atom. For the electronic total energy, the calculation gives -126.39 eV/cell. Its density is 5.33 g/cm3. The value obtained for the density of states at the Fermi level is 22.14 states/eV/cell.

abc: 4.6513 20.2557 14.7810
angles: 90.00 90.00 90.00
Closest atoms and distances in Å follow each position.
Space group Cmc2_1 (No. 36)
Asymmetric unit:
Ba1 0.0000 0.0011 0.0000 [4 per cell]  1 F 2.62
Ba2 0.0000 0.1486 0.2514 [4 per cell]  1 Pt 3.09
Ba3 0.0000 0.1932 0.6092 [4 per cell]  1 F 2.83
Ba4 0.0000 0.2029 0.9021 [4 per cell]  2 Pt 3.17
Ba5 0.0000 0.4550 0.2374 [4 per cell]  2 F 2.62
Ag1 0.0000 0.3778 0.5680 [4 per cell]  7 Ba 3.53-3.79
Ag2 0.0000 0.3817 0.9314 [4 per cell]  7 Ba 3.50-3.82
Pt1 0.0000 0.3009 0.2563 [4 per cell]  6 Ba 3.09-3.19
F1 0.0000 0.0580 0.6578 [4 per cell]  4 Ba 2.62-2.83


3.
Compound: SrLiSb
Source: Alexandria via LeMat-Bulk
Functional: PBE
Structure: optimized geometry

Results
Its formation energy without anion corrections is -0.606 eV/atom. For the electronic total energy, the calculation gives -19.07 eV/cell. Its density is 3.93 g/cm3.

abc: 4.4967 4.4967 9.0417
angles: 90.00 90.00 90.00
Closest atoms and distances in Å follow each position.
Space group I4mm (No. 107)
Asymmetric unit:
Sr1 0.0000 0.0000 0.0000 [2 per cell]  1 Li 2.98, 1 Sb 3.25
Li1 0.0000 0.0000 0.6703 [2 per cell]  1 Sb 2.81, 1 Sr 2.98
Sb1 0.0000 0.0000 0.3594 [2 per cell]  1 Li 2.81